No. 1
Computed, not measured: a relaxed La2MgTl crystal at the PBEsol level of DFT.

Summary:
Total magnetic moment   0.0 μB per formula unit
Energy above the most stable polymorph in this dataset   60 meV per atom
Energy relative to the elements   -0.235 eV per atom

abc: 6.079 6.079 6.079
angles: 134.10 134.10 66.94
Fractional positions:
La  0.000  0.000  0.000
La  0.750  0.250  0.500
Mg  0.500  0.500  0.000
Tl  0.250  0.750  0.500

---

No. 2
Computed, not measured: a relaxed CoRe2Ni crystal at the PBEsol level of DFT.

Summary:
Total magnetic moment   1.3 μB per formula unit
Energy above the most stable polymorph in this dataset   140 meV per atom
Energy relative to the elements   0.071 eV per atom

abc: 4.541 4.541 4.541
angles: 132.61 132.61 69.27
Fractional positions:
Co  0.000  0.000  0.000
Re  0.250  0.750  0.500
Re  0.750  0.250  0.500
Ni  0.500  0.500  0.000

---

No. 3
Computed, not measured: a relaxed MgScCrS4 crystal at the PBEsol level of DFT.

Summary:
Total magnetic moment   3.0 μB per formula unit
ΔE_f (raw)   -30.5 kcal/mol of atoms

abc: 7.300 7.300 7.300
angles: 120.11 119.86 90.02
Fractional positions:
Mg  0.374  0.124  0.250
Mg  0.626  0.876  0.750
Sc  0.000  0.500  0.500
Sc  0.500  0.500  0.000
Cr  0.000  0.000  0.500
Cr  0.000  0.500  0.000
S  0.216  0.748  0.468
S  0.220  0.252  0.968
S  0.232  0.243  0.511
S  0.232  0.721  0.989
S  0.768  0.279  0.011
S  0.768  0.757  0.489
S  0.780  0.748  0.032
S  0.784  0.252  0.532

---

No. 4
Computed, not measured: a relaxed TlAs2AuSe crystal at the PBEsol level of DFT.

Summary:
Total magnetic moment   0.5 μB per formula unit
ΔE_f (raw)   13.0 kcal/mol of atoms

abc: 4.986 4.986 5.261
angles: 90.00 90.00 90.00
Fractional positions:
Tl  0.000  0.000  0.000
As  0.000  0.500  0.500
As  0.500  0.000  0.500
Au  0.500  0.500  0.500
Se  0.500  0.500  0.000

---

No. 5
Computed, not measured: a relaxed Y2PtPb crystal at the PBEsol level of DFT.

Summary:
Total magnetic moment   0.0 μB per formula unit
Energy relative to the elements   -0.305 eV per atom

abc: 9.108 9.108 9.108
angles: 24.08 24.08 24.08
Fractional positions:
Y  0.000  0.000  0.000
Y  0.219  0.219  0.219
Pt  0.490  0.490  0.490
Pb  0.757  0.757  0.757

---

No. 6
Computed, not measured: a relaxed Ba2LaMn2O7 crystal at the PBEsol level of DFT.

Summary:
Total magnetic moment   6.9 μB per formula unit
ΔE_f (raw)   -58.2 kcal/mol of atoms

abc: 10.698 10.698 10.698
angles: 158.93 158.93 29.97
Fractional positions:
Ba  0.181  0.181  0.000
Ba  0.819  0.819  0.000
La  0.000  0.000  0.000
Mn  0.407  0.407  0.000
Mn  0.593  0.593  0.000
O  0.086  0.586  0.500
O  0.315  0.315  0.000
O  0.414  0.914  0.500
O  0.500  0.500  0.000
O  0.586  0.086  0.500
O  0.685  0.685  0.000
O  0.914  0.414  0.500

---

Question: Look up the total magnetic moment of the first one.
Answer: 0.0 μB per formula unit